Entry 1:
5
Lattice="5.479 0.000 0.000 0.000 5.479 0.000 0.000 0.000 4.317" Properties=species:S:1:pos:R:3 comment="YRuSe2N (GGA-PBE, relaxed)" e_tot_ev_per_atom=-5.363 polymorph_energy_mev_per_atom=1321 dos_ef_per_ev_fu=6.35 pbc="T T T"
Y 0.000 0.000 0.000
Se 2.740 0.000 0.000
Se 0.000 2.740 0.000
Ru 2.740 2.740 2.159
N 0.000 0.000 2.159

Entry 2:
4
Lattice="-2.528 1.452 -4.566 -3.994 -3.077 -1.980 -5.120 1.761 0.181" Properties=species:S:1:pos:R:3 comment="PrGdMgSn (GGA-PBE, relaxed)" e_tot_ev_per_atom=-6.546 delta_e_f_ev_per_atom=-0.43 dos_ef_per_ev_fu=4.34 pbc="T T T"
Pr -5.821 0.068 -3.183
Mg -8.731 0.102 -4.774
Gd 0.000 0.000 0.000
Sn -2.910 0.034 -1.591

Entry 3:
12
Lattice="4.177 0.000 0.000 0.000 8.862 -2.103 -2.088 -4.891 10.043" Properties=species:S:1:pos:R:3 comment="CeTh6Tc2Hg3 (GGA-PBE, relaxed)" e_tot_ev_per_atom=-6.140 delta_e_f_ev_per_atom=-0.13 dos_ef_per_ev_fu=14.13 pbc="T T T"
Hg 0.000 4.973 1.300
Hg 2.088 4.431 -1.051
Hg 2.088 -1.003 6.640
Th 2.088 2.525 2.521
Th 0.000 1.445 5.419
Th 0.000 5.181 4.570
Th 0.000 2.061 -0.475
Th 2.088 -1.211 3.370
Th 2.088 1.909 8.415
Ce 2.088 0.000 0.000
Tc 0.000 0.513 2.541
Tc 2.088 3.457 5.399

Entry 4:
15
Lattice="-0.137 -1.636 8.650 -5.533 -4.246 -5.371 9.937 -3.240 -0.456" Properties=species:S:1:pos:R:3 comment="Cs3Ho3HfTe8 (GGA-PBE, relaxed)" e_tot_ev_per_atom=-4.692 pbc="T T T"
Cs 0.000 0.000 0.000
Cs -2.767 -2.123 -2.686
Cs -2.835 -2.941 1.639
Hf 4.968 -1.620 -0.228
Ho 2.202 -3.743 -2.914
Ho 4.900 -2.438 4.097
Ho 2.133 -4.561 1.411
Te 0.058 -3.740 -0.707
Te 2.908 -1.605 1.884
Te -0.052 -4.674 3.596
Te 1.431 -6.664 -3.577
Te 2.836 -2.459 6.399
Te 1.359 -7.518 0.938
Te 4.319 -4.448 -0.773
Te 4.209 -5.383 3.529

Entry 5:
8
Lattice="-3.621 1.887 0.105 -1.485 -7.196 -1.239 -0.582 -1.709 10.618" Properties=species:S:1:pos:R:3 comment="CaAc2In (GGA-PBE, relaxed)" e_tot_ev_per_atom=-3.421 polymorph_energy_mev_per_atom=0 delta_e_f_ev_per_atom=-0.18 dos_ef_per_ev_fu=5.00 pbc="T T T"
In -3.781 -3.247 7.464
In -1.907 -3.771 2.020
Ca -0.786 -1.942 7.838
Ca -4.902 -5.075 1.646
Ac -2.749 -0.867 0.267
Ac -2.981 -1.547 4.493
Ac -2.707 -5.470 4.991
Ac -2.939 -6.150 9.217

Entry 6:
12
Lattice="-2.898 0.578 -3.769 0.057 -6.708 -1.072 -7.159 -0.443 2.393" Properties=species:S:1:pos:R:3 comment="Ho6Ru5Rh (GGA-PBE, relaxed)" e_tot_ev_per_atom=-7.224 delta_e_f_ev_per_atom=-0.46 dos_ef_per_ev_fu=9.52 pbc="T T T"
Rh 0.000 0.000 0.000
Ho -4.770 -4.691 -3.138
Ho -1.435 -1.401 -2.155
Ho -1.407 -4.729 -2.686
Ho -4.798 -1.352 -2.604
Ho -5.230 -1.882 0.690
Ho -5.202 -5.221 0.156
Ru -6.710 0.089 -0.913
Ru 0.028 -3.354 -0.536
Ru -3.315 -3.308 -1.001
Ru -6.685 -3.265 -1.447
Ru -3.346 0.046 -0.463

Entry 7:
10
Lattice="4.230 0.000 0.000 0.000 4.230 0.000 0.000 0.000 11.649" Properties=species:S:1:pos:R:3 comment="Pm2Zn4InAu3 (GGA-PBE, relaxed)" e_tot_ev_per_atom=-3.207 delta_e_f_ev_per_atom=-0.49 dos_ef_per_ev_fu=4.05 pbc="T T T"
Zn 0.000 2.115 4.143
Zn 0.000 0.000 0.000
Zn 2.115 2.115 0.000
Zn 2.115 0.000 7.506
Pm 2.115 0.000 2.862
Pm 0.000 2.115 8.787
Au 2.115 0.000 10.040
Au 0.000 0.000 5.824
Au 0.000 2.115 1.609
In 2.115 2.115 5.824

Entry 8:
4
Lattice="4.441 0.000 0.000 0.000 4.441 0.000 -2.220 -2.220 4.148" Properties=species:S:1:pos:R:3 comment="HoAg3 (GGA-PBE, relaxed)" e_tot_ev_per_atom=-3.495 delta_e_f_ev_per_atom=-0.21 dos_ef_per_ev_fu=2.80 pbc="T T T"
Ag 2.220 2.220 0.000
Ag 2.220 0.000 2.074
Ag 0.000 2.220 2.074
Ho 0.000 0.000 0.000